1.
ReMo2 | Alexandria | PBE-GGA | optimized geometry; energy above the lowest structure with this stoichiometry = 0.000 eV per atom; ρ = 13.4 g cm⁻³; ΔH_f (0 K) = 0.044 eV per atom; M_tot = 0.00 μB per cell; DFT total energy = -11.326 eV per atom; DOS at the Fermi energy = 2.59 states/eV/f.u.
1.0
4.453 0.000 0.000
-2.227 3.857 0.000
0.000 0.000 2.721
Mo Re
2 1
direct
0.667 0.333 0.331 Mo
0.333 0.667 0.669 Mo
0.000 0.000 0.000 Re

---

2.
ZrPa5 | Alexandria | PBE-GGA | optimized geometry; energy above the lowest structure with this stoichiometry = 0.024 eV per atom; ρ = 14.1 g cm⁻³; ΔH_f (0 K) = 0.045 eV per atom; M_tot = 0.00 μB per cell; DFT total energy = -9.293 eV per atom; DOS at the Fermi energy = 13.20 states/eV/f.u.
1.0
3.207 0.000 0.000
0.000 5.531 0.000
0.000 -2.766 8.287
Pa Zr
5 1
direct
0.000 0.663 0.327 Pa
0.500 0.830 0.661 Pa
0.500 0.500 0.000 Pa
0.500 0.170 0.339 Pa
0.000 0.337 0.673 Pa
0.000 0.000 0.000 Zr

---

3.
Ta4Ga | Alexandria | PBE-GGA | optimized geometry; energy above the lowest structure with this stoichiometry = 0.988 eV per atom; ρ = 12.7 g cm⁻³; ΔH_f (0 K) = 1.190 eV per atom; M_tot = 0.00 μB per cell; DFT total energy = -8.898 eV per atom; DOS at the Fermi energy = 3.46 states/eV/f.u.
1.0
4.696 0.000 0.000
0.000 4.696 0.000
0.000 0.000 4.696
Ta Ga
4 1
direct
0.000 0.000 0.000 Ta
0.000 0.500 0.500 Ta
0.500 0.000 0.500 Ta
0.500 0.500 0.000 Ta
0.500 0.500 0.500 Ga

---

4.
Er5TmSb6 | Alexandria | PBE-GGA | optimized geometry; ρ = 8.3 g cm⁻³; energy relative to the elements, uncorrected = -1.090 eV per atom; M_tot = 0.00 μB per cell; DFT total energy = -5.425 eV per atom; DOS at the Fermi energy = 1.96 states/eV/f.u.
1.0
7.530 0.206 0.000
2.317 7.170 0.000
1.159 3.585 6.525
Sb Er Tm
6 5 1
direct
0.750 0.083 0.333 Sb
0.250 0.584 0.333 Sb
0.250 0.917 0.667 Sb
0.750 0.751 0.000 Sb
0.250 0.249 0.000 Sb
0.750 0.416 0.667 Sb
0.000 0.333 0.333 Er
0.500 0.833 0.334 Er
0.000 0.667 0.667 Er
0.500 0.167 0.666 Er
0.500 0.500 0.000 Er
0.000 0.000 0.000 Tm

---

5.
GdHf3 | Alexandria | PBE-GGA | optimized geometry; energy above the lowest structure with this stoichiometry = 0.077 eV per atom; ρ = 12.0 g cm⁻³; ΔH_f (0 K) = 0.181 eV per atom; M_tot = 7.14 μB per cell; DFT total energy = -10.804 eV per atom; DOS at the Fermi energy = 5.45 states/eV/f.u.
1.0
4.595 0.000 0.000
0.000 4.595 0.000
-2.297 -2.297 4.549
Hf Gd
3 1
direct
0.500 0.500 0.000 Hf
0.250 0.750 0.500 Hf
0.750 0.250 0.500 Hf
0.000 0.000 0.000 Gd

---

6.
SrAlTl2 | Alexandria | PBE-GGA | optimized geometry; ρ = 7.1 g cm⁻³; ΔH_f (0 K) = -0.133 eV per atom; M_tot = 0.00 μB per cell; DFT total energy = -2.672 eV per atom; DOS at the Fermi energy = 2.14 states/eV/f.u.
1.0
-4.260 -1.796 -1.284
-0.208 -3.891 -2.800
-1.495 -5.508 3.611
Al Tl Sr
1 2 1
direct
0.434 0.434 0.698 Al
0.021 0.021 0.934 Tl
0.804 0.804 0.588 Tl
0.242 0.242 0.279 Sr

---

7.
LiMoBr2N | Alexandria | PBE-GGA | optimized geometry; ρ = 4.8 g cm⁻³; energy relative to the elements, uncorrected = 1.876 eV per atom; M_tot = 0.62 μB per cell; DFT total energy = -3.008 eV per atom; DOS at the Fermi energy = 8.27 states/eV/f.u.
1.0
-2.662 2.774 -2.224
1.416 -2.004 -4.195
-3.311 -2.946 0.290
N Br Li Mo
1 2 1 1
direct
0.500 0.500 0.500 N
0.000 0.000 0.500 Br
0.500 0.000 0.000 Br
0.000 0.000 0.000 Li
0.000 0.500 0.000 Mo

---

8.
Li4ErCd5 | Alexandria | PBE-GGA | optimized geometry; ρ = 6.3 g cm⁻³; ΔH_f (0 K) = -0.260 eV per atom; M_tot = 0.17 μB per cell; DFT total energy = -1.939 eV per atom; DOS at the Fermi energy = 4.09 states/eV/f.u.
1.0
-2.126 2.594 0.734
-1.504 -0.365 -3.065
-10.976 -10.887 6.682
Li Cd Er
4 5 1
direct
0.000 0.000 0.407 Li
0.000 0.000 0.782 Li
0.000 0.000 0.593 Li
0.000 0.000 0.218 Li
0.500 0.500 0.687 Cd
0.500 0.500 0.875 Cd
0.500 0.500 0.125 Cd
0.500 0.500 0.313 Cd
0.500 0.500 0.500 Cd
0.000 0.000 0.000 Er

---

9.
La3PmEr2S6 | Alexandria | PBE-GGA | optimized geometry; ρ = 6.5 g cm⁻³; energy relative to the elements, uncorrected = -2.081 eV per atom; M_tot = 0.00 μB per cell; DFT total energy = -6.533 eV per atom; DOS at the Fermi energy = 5.81 states/eV/f.u.
1.0
6.960 -0.008 -0.003
-3.485 6.025 -0.003
-1.162 -2.012 6.665
La S Er Pm
3 6 2 1
direct
0.500 0.500 0.500 La
0.163 0.837 0.500 La
0.837 0.163 0.500 La
0.733 0.733 0.229 S
0.923 0.580 0.768 S
0.580 0.923 0.768 S
0.267 0.267 0.771 S
0.077 0.420 0.232 S
0.420 0.077 0.232 S
0.667 0.333 0.000 Er
0.333 0.667 0.000 Er
0.000 0.000 0.000 Pm

---

10.
Ce2PmSm | Alexandria | PBE-GGA | optimized geometry; energy above the lowest structure with this stoichiometry = 0.158 eV per atom; ρ = 7.3 g cm⁻³; ΔH_f (0 K) = 0.271 eV per atom; M_tot = 3.53 μB per cell; DFT total energy = -5.064 eV per atom; DOS at the Fermi energy = 16.83 states/eV/f.u.
1.0
5.709 0.000 0.000
2.855 4.944 0.000
2.855 1.648 4.662
Pm Ce Sm
1 2 1
direct
0.000 0.000 0.000 Pm
0.750 0.750 0.750 Ce
0.250 0.250 0.250 Ce
0.500 0.500 0.500 Sm

---

11.
Ce3TmBi4 | Alexandria | PBE-GGA | optimized geometry; energy above the lowest structure with this stoichiometry = 0.000 eV per atom; ρ = 8.8 g cm⁻³; ΔH_f (0 K) = -0.781 eV per atom; M_tot = 2.67 μB per cell; DFT total energy = -5.506 eV per atom; DOS at the Fermi energy = 21.29 states/eV/f.u.
1.0
-1.321 1.397 4.145
4.095 -5.890 3.291
4.614 6.367 -0.676
Bi Ce Tm
4 3 1
direct
0.000 0.243 0.243 Bi
0.500 0.246 0.754 Bi
0.000 0.757 0.757 Bi
0.500 0.754 0.246 Bi
0.000 0.000 0.500 Ce
0.000 0.500 0.000 Ce
0.500 0.500 0.500 Ce
0.500 0.000 0.000 Tm

---

12.
YBe2BIr | Alexandria | PBE-GGA | optimized geometry; ρ = 7.9 g cm⁻³; ΔH_f (0 K) = -0.420 eV per atom; M_tot = 0.00 μB per cell; DFT total energy = -6.311 eV per atom; DOS at the Fermi energy = 2.49 states/eV/f.u.
1.0
-0.656 3.495 -0.178
-2.945 -0.445 2.118
4.612 -0.791 3.093
Y Be Ir B
1 2 1 1
direct
0.436 0.436 0.871 Y
0.702 0.202 0.404 Be
0.060 0.060 0.121 Be
0.196 0.696 0.393 Ir
0.818 0.818 0.636 B

---

13.
HgRh3Br | Alexandria | PBE-GGA | optimized geometry; energy above the lowest structure with this stoichiometry = 0.000 eV per atom; ρ = 9.9 g cm⁻³; energy relative to the elements, uncorrected = 0.874 eV per atom; M_tot = 0.00 μB per cell; DFT total energy = -3.932 eV per atom; DOS at the Fermi energy = 5.82 states/eV/f.u.
1.0
-0.018 4.603 0.367
-0.627 0.361 -4.560
-4.575 -0.068 0.624
Hg Rh Br
1 3 1
direct
0.500 0.500 0.500 Hg
0.000 0.500 0.000 Rh
0.500 0.000 0.000 Rh
0.000 0.000 0.500 Rh
0.000 0.000 0.000 Br

---

14.
Ho5ScIn3 | Alexandria | PBE-GGA | optimized geometry; ρ = 8.3 g cm⁻³; ΔH_f (0 K) = -0.344 eV per atom; M_tot = 1.31 μB per cell; DFT total energy = -4.504 eV per atom; DOS at the Fermi energy = 9.92 states/eV/f.u.
1.0
6.615 0.000 0.000
0.000 9.236 0.000
0.000 -4.618 7.998
In Ho Sc
6 10 2
direct
0.750 0.337 0.337 In
0.750 0.663 0.000 In
0.250 0.337 0.000 In
0.750 0.000 0.663 In
0.250 0.663 0.663 In
0.250 0.000 0.337 In
0.250 0.000 0.675 Ho
0.000 0.667 0.333 Ho
0.750 0.675 0.675 Ho
0.250 0.325 0.325 Ho
0.750 0.000 0.325 Ho
0.500 0.333 0.667 Ho
0.750 0.325 0.000 Ho
0.250 0.675 0.000 Ho
0.000 0.333 0.667 Ho
0.500 0.667 0.333 Ho
0.500 0.000 0.000 Sc
0.000 0.000 0.000 Sc

---

15.
Tb3HoPd4 | Alexandria | PBE-GGA | optimized geometry; ρ = 10.2 g cm⁻³; ΔH_f (0 K) = -0.879 eV per atom; M_tot = 0.00 μB per cell; DFT total energy = -5.784 eV per atom; DOS at the Fermi energy = 3.79 states/eV/f.u.
1.0
3.439 0.000 0.000
0.000 5.023 0.000
0.000 0.000 10.047
Pd Tb Ho
4 3 1
direct
0.000 0.500 0.247 Pd
0.000 0.000 0.500 Pd
0.000 0.500 0.753 Pd
0.000 0.000 0.000 Pd
0.500 0.500 0.500 Tb
0.500 0.000 0.751 Tb
0.500 0.000 0.249 Tb
0.500 0.500 0.000 Ho

---

16.
Y2TcHPd | Alexandria | PBE-GGA | optimized geometry; ρ = 7.3 g cm⁻³; M_tot = 0.00 μB per cell; DFT total energy = -6.826 eV per atom; DOS at the Fermi energy = 2.13 states/eV/f.u.
1.0
4.939 0.000 0.000
0.000 4.939 0.000
0.000 0.000 3.560
Y Pd Tc H
2 1 1 1
direct
0.000 0.500 0.000 Y
0.500 0.000 0.000 Y
0.500 0.500 0.500 Pd
0.000 0.000 0.500 Tc
0.000 0.000 0.000 H

---

17.
BaRuSeN2 | Alexandria | PBE-GGA | optimized geometry; energy above the lowest structure with this stoichiometry = 2.170 eV per atom; ρ = 4.8 g cm⁻³; energy relative to the elements, uncorrected = 2.366 eV per atom; M_tot = 0.57 μB per cell; DFT total energy = -3.900 eV per atom; DOS at the Fermi energy = 9.25 states/eV/f.u.
1.0
-3.905 -0.158 1.687
0.581 -4.106 0.961
2.444 1.709 5.819
N Se Ba Ru
2 1 1 1
direct
0.000 0.500 0.000 N
0.500 0.000 0.000 N
0.000 0.000 0.500 Se
0.000 0.000 0.000 Ba
0.500 0.500 0.500 Ru

---

18.
SbSeCl | Alexandria | PBE-GGA | optimized geometry; ρ = 3.6 g cm⁻³; energy relative to the elements, uncorrected = -0.518 eV per atom; M_tot = 0.00 μB per cell; DFT total energy = -3.669 eV per atom; DOS at the Fermi energy = 0.00 states/eV/f.u.
1.0
8.826 0.000 0.000
0.000 6.926 0.221
0.000 -0.490 7.127
Cl Se Sb
4 4 4
direct
0.423 0.777 0.342 Cl
0.077 0.777 0.842 Cl
0.923 0.223 0.158 Cl
0.577 0.223 0.658 Cl
0.831 0.772 0.441 Se
0.331 0.228 0.059 Se
0.169 0.228 0.559 Se
0.669 0.772 0.941 Se
0.644 0.990 0.248 Sb
0.144 0.010 0.252 Sb
0.356 0.010 0.752 Sb
0.856 0.990 0.748 Sb

---

19.
AcSmNpN3 | Alexandria | PBE-GGA | optimized geometry; ρ = 8.9 g cm⁻³; energy relative to the elements, uncorrected = -0.939 eV per atom; M_tot = 2.24 μB per cell; DFT total energy = -8.730 eV per atom; DOS at the Fermi energy = 2.21 states/eV/f.u.
1.0
-0.826 0.713 3.579
7.228 -1.799 2.027
0.919 8.411 -1.464
N Sm Np Ac
6 2 2 2
direct
0.750 0.891 0.156 N
0.250 0.597 0.876 N
0.750 0.210 0.574 N
0.250 0.109 0.844 N
0.250 0.790 0.426 N
0.750 0.403 0.124 N
0.250 0.630 0.155 Sm
0.750 0.370 0.845 Sm
0.750 0.940 0.413 Np
0.250 0.060 0.587 Np
0.750 0.823 0.846 Ac
0.250 0.177 0.154 Ac

---

20.
Pm2TlRh2 | Alexandria | PBE-GGA | optimized geometry; ρ = 10.2 g cm⁻³; ΔH_f (0 K) = -0.623 eV per atom; M_tot = 0.00 μB per cell; DFT total energy = -5.937 eV per atom; DOS at the Fermi energy = 2.90 states/eV/f.u.
1.0
3.872 0.000 0.000
0.000 7.677 0.000
0.000 0.000 7.677
Rh Pm Tl
4 4 2
direct
0.000 0.630 0.130 Rh
0.000 0.130 0.370 Rh
0.000 0.870 0.630 Rh
0.000 0.370 0.870 Rh
0.500 0.671 0.829 Pm
0.500 0.329 0.171 Pm
0.500 0.829 0.329 Pm
0.500 0.171 0.671 Pm
0.000 0.500 0.500 Tl
0.000 0.000 0.000 Tl

---

21.
ZnW8 | Alexandria | PBE-GGA | optimized geometry; ρ = 17.6 g cm⁻³; ΔH_f (0 K) = 0.360 eV per atom; M_tot = 0.00 μB per cell; DFT total energy = -11.296 eV per atom; DOS at the Fermi energy = 5.76 states/eV/f.u.
1.0
-4.077 4.077 2.183
4.077 -4.077 2.183
4.077 4.077 -2.183
W Zn
8 1
direct
0.672 0.000 0.672 W
0.338 0.338 0.676 W
0.328 0.000 0.328 W
0.000 0.328 0.328 W
0.338 0.662 0.000 W
0.000 0.672 0.672 W
0.662 0.338 0.000 W
0.662 0.662 0.324 W
0.000 0.000 0.000 Zn

---

22.
ErHfMg | Alexandria | PBE-GGA | optimized geometry; energy above the lowest structure with this stoichiometry = 0.053 eV per atom; ρ = 8.1 g cm⁻³; ΔH_f (0 K) = 0.087 eV per atom; M_tot = 0.00 μB per cell; DFT total energy = -5.283 eV per atom; DOS at the Fermi energy = 2.86 states/eV/f.u.
1.0
-1.614 -1.622 2.343
1.232 -1.623 -2.563
6.980 -1.097 4.050
Er Mg Hf
1 1 1
direct
0.333 0.667 0.653 Er
0.000 0.000 0.012 Mg
0.667 0.333 0.335 Hf

---

23.
MgZn2W | Alexandria | PBE-GGA | optimized geometry; ρ = 8.8 g cm⁻³; ΔH_f (0 K) = 0.172 eV per atom; M_tot = 0.00 μB per cell; DFT total energy = -4.102 eV per atom; DOS at the Fermi energy = 0.85 states/eV/f.u.
1.0
-1.175 -2.270 1.009
0.687 -1.370 -2.281
7.361 -2.230 3.556
Zn Mg W
2 1 1
direct
0.000 0.000 0.509 Zn
0.000 0.000 0.991 Zn
0.500 0.500 0.250 Mg
0.500 0.500 0.750 W

---

24.
Tl5AuBr8 | Alexandria | PBE-GGA | optimized geometry; ρ = 5.9 g cm⁻³; energy relative to the elements, uncorrected = -0.635 eV per atom; M_tot = 0.00 μB per cell; DFT total energy = -2.670 eV per atom
1.0
-6.703 5.739 0.539
2.844 -1.284 -8.272
-2.204 -8.190 2.493
Br Tl Au
8 5 1
direct
0.697 0.989 0.186 Br
0.198 0.708 0.011 Br
0.303 0.490 0.292 Br
0.380 0.909 0.682 Br
0.227 0.318 0.699 Br
0.620 0.301 0.529 Br
0.802 0.814 0.510 Br
0.773 0.471 0.091 Br
0.619 0.618 0.781 Tl
0.000 0.500 0.500 Tl
0.162 0.001 0.382 Tl
0.838 0.219 0.838 Tl
0.381 0.162 0.999 Tl
0.500 0.750 0.250 Au

---

25.
LaHoLuHg | Alexandria | PBE-GGA | optimized geometry; ρ = 9.7 g cm⁻³; ΔH_f (0 K) = -0.083 eV per atom; M_tot = 0.06 μB per cell; DFT total energy = -3.665 eV per atom; DOS at the Fermi energy = 5.16 states/eV/f.u.
1.0
5.480 0.000 0.000
2.740 4.746 0.000
2.740 1.582 4.474
La Ho Lu Hg
1 1 1 1
direct
0.500 0.500 0.500 La
0.000 0.000 0.000 Ho
0.750 0.750 0.750 Lu
0.250 0.250 0.250 Hg